Ta2FeOsCl: PBEsol geometry, meta-GGA SCAN.

Values from the calculation:
total moment	0.68	μB per formula unit
raw formation energy	921	meV per atom
total energy	-45.309	eV/atom

Lattice parameters (Å, degrees): 3.896 4.451 4.451 90.00 90.00 90.00
Sites, in units of the cell vectors:
Cl 0.000 0.000 0.000
Os 0.500 0.500 0.500
Fe 0.500 0.000 0.000
Ta 0.000 0.000 0.500
Ta 0.000 0.500 0.000


Y3Cu3Sb4: PBEsol geometry, meta-GGA SCAN.

Values from the calculation:
total moment	0.00	μB per formula unit
raw formation energy	-842	meV per atom
total energy	-28.659	eV/atom

Lattice parameters (Å, degrees): 8.185 8.185 8.185 109.47 109.47 109.47
Sites, in units of the cell vectors:
Y 0.125 0.250 0.375
Y 0.375 0.750 0.125
Y 0.750 0.625 0.875
Y 0.250 0.875 0.625
Y 0.875 0.125 0.750
Y 0.625 0.375 0.250
Cu 0.625 0.250 0.875
Cu 0.875 0.750 0.625
Cu 0.750 0.125 0.375
Cu 0.250 0.375 0.125
Cu 0.375 0.625 0.750
Cu 0.125 0.875 0.250
Sb 0.338 0.338 0.838
Sb 0.500 0.162 0.500
Sb 0.000 0.500 0.662
Sb 0.162 0.000 0.000
Sb 0.500 0.662 0.500
Sb 0.838 0.838 0.338
Sb 0.000 0.500 0.162
Sb 0.662 0.000 0.000


Mg3Al2Cu4: PBEsol geometry, meta-GGA SCAN.

Values from the calculation:
total moment	0.00	μB per formula unit
energy of formation from the pure elements	-0.279	eV/atom
total energy	-10.414	eV/atom

Lattice parameters (Å, degrees): 4.974 5.021 12.244 89.48 89.00 60.33
Sites, in units of the cell vectors:
Mg 0.672 0.656 0.714
Mg 0.002 0.009 0.367
Mg 0.336 0.336 0.040
Mg 0.664 0.664 0.960
Mg 0.998 0.991 0.633
Mg 0.328 0.344 0.286
Al 0.500 0.500 0.500
Al 0.829 0.838 0.165
Al 0.171 0.162 0.835
Al 0.500 0.000 0.500
Cu 0.832 0.337 0.165
Cu 0.168 0.663 0.835
Cu 0.666 0.670 0.333
Cu 0.000 0.000 0.000
Cu 0.334 0.330 0.667
Cu 0.000 0.500 0.500
Cu 0.332 0.837 0.166
Cu 0.668 0.163 0.834


Mn2IrOs: PBEsol geometry, meta-GGA SCAN.

Values from the calculation:
total moment	0.00	μB per formula unit
energy of formation from the pure elements	-0.036	eV/atom
total energy	-44.909	eV/atom

Lattice parameters (Å, degrees): 2.630 3.931 4.909 90.00 105.54 90.00
Sites, in units of the cell vectors:
Ir 0.422 0.500 0.843
Os 0.081 0.000 0.162
Mn 0.810 0.000 0.620
Mn 0.691 0.500 0.381


CrIrPb2: PBEsol geometry, meta-GGA SCAN.

Values from the calculation:
total moment	3.90	μB per formula unit
energy of formation from the pure elements	0.513	eV/atom
total energy	-59.748	eV/atom

Lattice parameters (Å, degrees): 3.374 3.374 6.902 90.00 90.00 90.00
Sites, in units of the cell vectors:
Cr 0.500 0.500 0.000
Ir 0.500 0.500 0.500
Pb 0.000 0.000 0.737
Pb 0.000 0.000 0.263


Ba2BePt: PBEsol geometry, meta-GGA SCAN.

Values from the calculation:
total moment	0.00	μB per formula unit
energy of formation from the pure elements	0.057	eV/atom
total energy	-38.355	eV/atom

Lattice parameters (Å, degrees): 4.532 4.532 6.354 90.00 90.00 90.00
Sites, in units of the cell vectors:
Be 0.000 0.000 0.000
Ba 0.000 0.000 0.500
Ba 0.500 0.500 0.000
Pt 0.500 0.500 0.500


CaSbW2Au: PBEsol geometry, meta-GGA SCAN.

Values from the calculation:
total moment	0.00	μB per formula unit
raw formation energy	1535	meV per atom
total energy	-49.556	eV/atom

Lattice parameters (Å, degrees): 4.866 4.866 5.214 90.00 90.00 90.00
Sites, in units of the cell vectors:
Sb 0.500 0.500 0.500
Ca 0.000 0.000 0.500
Au 0.000 0.000 0.000
W 0.000 0.500 0.000
W 0.500 0.000 0.000


ZrIn3Br: PBEsol geometry, meta-GGA SCAN.

Values from the calculation:
total moment	0.00	μB per formula unit
raw formation energy	786	meV per atom
total energy	-29.278	eV/atom

Lattice parameters (Å, degrees): 5.305 5.305 5.305 90.00 90.00 90.00
Sites, in units of the cell vectors:
Br 0.000 0.000 0.000
Zr 0.500 0.500 0.500
In 0.000 0.500 0.000
In 0.000 0.000 0.500
In 0.500 0.000 0.000


ScIr2: PBEsol geometry, meta-GGA SCAN.

Values from the calculation:
total moment	0.00	μB per formula unit
energy of formation from the pure elements	-0.549	eV/atom
total energy	-52.694	eV/atom

Lattice parameters (Å, degrees): 2.802 2.802 6.256 102.94 102.94 90.00
Sites, in units of the cell vectors:
Ir 0.327 0.327 0.654
Ir 0.673 0.673 0.346
Sc 0.000 0.000 0.000


BeCoRe3: PBEsol geometry, meta-GGA SCAN.

Values from the calculation:
total moment	0.00	μB per formula unit
energy of formation from the pure elements	1.960	eV/atom
total energy	-45.030	eV/atom

Lattice parameters (Å, degrees): 4.329 4.329 4.329 90.00 90.00 90.00
Sites, in units of the cell vectors:
Re 0.000 0.500 0.000
Re 0.000 0.000 0.500
Re 0.500 0.000 0.000
Co 0.000 0.000 0.000
Be 0.500 0.500 0.500


Sr2YAu: PBEsol geometry, meta-GGA SCAN.

Values from the calculation:
total moment	0.00	μB per formula unit
energy of formation from the pure elements	-0.377	eV/atom
total energy	-35.764	eV/atom

Lattice parameters (Å, degrees): 3.963 5.204 7.356 110.71 90.00 90.00
Sites, in units of the cell vectors:
Au 0.500 0.530 0.060
Sr 0.000 0.989 0.978
Sr 0.500 0.305 0.610
Y 0.000 0.676 0.352


BaTl2Hg: PBEsol geometry, meta-GGA SCAN.

Values from the calculation:
total moment	0.00	μB per formula unit
energy of formation from the pure elements	-0.415	eV/atom
total energy	-63.524	eV/atom

Lattice parameters (Å, degrees): 4.966 4.965 6.585 112.23 90.00 120.00
Sites, in units of the cell vectors:
Tl 0.778 0.557 0.834
Tl 0.222 0.443 0.166
Hg 0.500 0.000 0.000
Ba 0.000 0.000 0.500


TlP2Se: PBEsol geometry, meta-GGA SCAN.

Values from the calculation:
total moment	0.00	μB per formula unit
raw formation energy	179	meV per atom
total energy	-28.130	eV/atom

Lattice parameters (Å, degrees): 3.202 3.202 8.532 90.00 90.00 90.00
Sites, in units of the cell vectors:
P 0.000 0.000 0.184
P 0.500 0.500 0.111
Se 0.000 0.000 0.450
Tl 0.500 0.500 0.755


BaGePt: PBEsol geometry, meta-GGA SCAN.

Values from the calculation:
total moment	0.00	μB per formula unit
energy of formation from the pure elements	-1.100	eV/atom
total energy	-44.043	eV/atom

Lattice parameters (Å, degrees): 6.744 6.744 6.744 90.00 90.00 90.00
Sites, in units of the cell vectors:
Ba 0.136 0.136 0.136
Ba 0.636 0.364 0.864
Ba 0.364 0.864 0.636
Ba 0.864 0.636 0.364
Ge 0.342 0.658 0.158
Ge 0.158 0.342 0.658
Ge 0.658 0.158 0.342
Ge 0.842 0.842 0.842
Pt 0.410 0.410 0.410
Pt 0.090 0.590 0.910
Pt 0.910 0.090 0.590
Pt 0.590 0.910 0.090